# 1
First-principles (PBE) data for a geometry-optimized MgMnRe2 structure, as listed in Alexandria via LeMat-Bulk.

a b c (Å): 2.6497 4.3838 5.1442
angles (deg): 90.00 100.82 90.00
With the nearest neighbours (Å) after each atom.
Space group P2/m (No. 10)
Symmetry-distinct sites (fractional):
Mg (0.0000, 0.0000, 0.0000)  2 Mg 2.65, 2 Mn 2.66, 4 Re 2.72
Mn (0.5000, 0.0000, 0.5000)  2 Mn 2.65, 4 Re 2.66, 2 Mg 2.66
Re (0.2799, 0.5000, 0.7489)  4 Re 2.63-2.71, 2 Mn 2.66, 2 Mg 2.72

The calculated total energy is -8.687 eV per atom. The density of states at the Fermi level comes out at 2.660 states/eV/f.u. For the density, the calculation gives 12.78 Mg/m³. The formation energy comes out at 0.2277 eV/atom.



# 2
First-principles (PBE) data for a geometry-optimized Mg2MnRe structure, as listed in Alexandria via LeMat-Bulk.

a b c (Å): 3.1817 4.5813 9.1424
angles (deg): 90.00 90.00 90.00
With the nearest neighbours (Å) after each atom.
Space group Cmm2 (No. 35)
Symmetry-distinct sites (fractional):
Mg (0.0000, 0.0000, 0.0000)  4 Mg 2.79, 2 Re 2.80
Mg (0.0000, 0.5000, 0.2952)  2 Mn 2.76, 4 Mg 2.79
Mn (0.0000, 0.0000, 0.5425)  2 Re 2.46
Re (0.0000, 0.5000, 0.7475)  2 Mn 2.46

The calculated total energy is -5.964 eV per atom. The density of states at the Fermi level comes out at 2.116 states/eV/f.u. The value obtained for the excess energy over the best structure of this formula in the dataset is 0.51 eV per formula unit. For the density, the calculation gives 7.22 Mg/m³. The formation energy comes out at 0.2375 eV/atom.



# 3
First-principles (PBE) data for a geometry-optimized MgMnRe2 structure, as listed in Alexandria via LeMat-Bulk.

a b c (Å): 2.7528 2.7528 26.8839
angles (deg): 90.00 90.00 120.00
With the nearest neighbours (Å) after each atom.
Space group R-3m (No. 166, hexagonal axes)
Symmetry-distinct sites (fractional):
Mg (0.0000, 0.0000, 0.0000)  6 Mg 2.75, 6 Re 2.92
Mn (0.0000, 0.0000, 0.5000)  6 Re 2.58, 6 Mn 2.75
Re (0.0000, 0.0000, 0.2423)  3 Mn 2.58, 6 Re 2.75

The calculated total energy is -8.675 eV per atom. The density of states at the Fermi level comes out at 4.573 states/eV/f.u. For the density, the calculation gives 12.75 Mg/m³. The formation energy comes out at 0.2405 eV/atom.



# 4
First-principles (PBE) data for a geometry-optimized MgMnRe2 structure, as listed in Alexandria via LeMat-Bulk.

a b c (Å): 2.6554 4.3988 5.1825
angles (deg): 90.00 99.60 90.00
With the nearest neighbours (Å) after each atom.
Space group Pm (No. 6)
Symmetry-distinct sites (fractional):
Mg (0.0000, 0.0000, 0.0000)  2 Mn 2.64, 2 Mg 2.66, 4 Re 2.70-2.79
Mn (0.7571, 0.5000, 0.2322)  2 Mg 2.64, 2 Mn 2.66, 4 Re 2.69-2.76
Re (0.2770, 0.5000, 0.7246)  4 Re 2.59-2.66, 2 Mn 2.69-2.73, 2 Mg 2.79
Re (0.4880, 0.0000, 0.5002)  4 Re 2.59-2.66, 2 Mg 2.70-2.72, 2 Mn 2.76

The calculated total energy is -8.680 eV per atom. The density of states at the Fermi level comes out at 2.794 states/eV/f.u. For the density, the calculation gives 12.57 Mg/m³. The formation energy comes out at 0.2347 eV/atom.



Copy entry 4 word for word.
First-principles (PBE) data for a geometry-optimized MgMnRe2 structure, as listed in Alexandria via LeMat-Bulk.

a b c (Å): 2.6554 4.3988 5.1825
angles (deg): 90.00 99.60 90.00
With the nearest neighbours (Å) after each atom.
Space group Pm (No. 6)
Symmetry-distinct sites (fractional):
Mg (0.0000, 0.0000, 0.0000)  2 Mn 2.64, 2 Mg 2.66, 4 Re 2.70-2.79
Mn (0.7571, 0.5000, 0.2322)  2 Mg 2.64, 2 Mn 2.66, 4 Re 2.69-2.76
Re (0.2770, 0.5000, 0.7246)  4 Re 2.59-2.66, 2 Mn 2.69-2.73, 2 Mg 2.79
Re (0.4880, 0.0000, 0.5002)  4 Re 2.59-2.66, 2 Mg 2.70-2.72, 2 Mn 2.76

The calculated total energy is -8.680 eV per atom. The density of states at the Fermi level comes out at 2.794 states/eV/f.u. For the density, the calculation gives 12.57 Mg/m³. The formation energy comes out at 0.2347 eV/atom.